Here is Sc3TiRh after structural relaxation from Alexandria via LeMat-Bulk. Energies are from PBE-GGA. Values from VASP.

```
&SYSTEM
  ibrav = 0, nat = 5, ntyp = 3
/
ATOMIC_SPECIES
Sc 44.96 Sc.upf
Rh 102.91 Rh.upf
Ti 47.87 Ti.upf
CELL_PARAMETERS angstrom
-3.250 -3.428 -0.415
3.432 -3.270 0.134
-0.383 -0.208 4.722
ATOMIC_POSITIONS crystal
Sc 0.000 0.500 0.000
Sc 0.000 0.000 0.500
Sc 0.500 0.000 0.000
Rh 0.500 0.500 0.500
Ti 0.000 0.000 0.000
```

Formation energy from the elements   0.72 eV per atom
SG   No. 221
Magnetic moment   0.000 μB/atom
Offset from the most stable computed form   612 meV/atom
Calculated density   4.4 Mg/m³
Raw total energy   -6.13 eV per atom